[1]
# Pm2GdDy (PBE, relaxed)
data_Pm2GdDy
_chemical_formula_sum 'Pm2 Gd1 Dy1'
_symmetry_space_group_name_H-M 'P 4/m m m'
_symmetry_Int_Tables_number 123
_symmetry_space_group_name_Hall '-P 4 2'
_cell_length_a 3.6121
_cell_length_b 3.6121
_cell_length_c 10.1788
_cell_angle_alpha 90.00
_cell_angle_beta 90.00
_cell_angle_gamma 90.00
loop_
_atom_site_label
_atom_site_fract_x
_atom_site_fract_y
_atom_site_fract_z
_atom_site_occupancy
Pm1 0.0000 0.0000 0.2477 1
Gd1 0.5000 0.5000 0.5000 1
Dy1 0.5000 0.5000 0.0000 1
# Distance to the lowest polymorph of the same formula ... 4 meV/atom
# ΔH_f (0 K) ... 17 meV/atom
# D(E_F) ... 6.4 states/eV/f.u.

=====

[2]
# Ca2SnS4 (PBE, relaxed)
data_Ca2SnS4
_chemical_formula_sum 'Ca8 Sn4 S16'
_symmetry_space_group_name_H-M 'P 1 21/c 1'
_symmetry_Int_Tables_number 14
_symmetry_space_group_name_Hall '-P 2ybc'
_cell_length_a 7.4223
_cell_length_b 9.9436
_cell_length_c 11.1258
_cell_angle_alpha 90.00
_cell_angle_beta 112.32
_cell_angle_gamma 90.00
loop_
_atom_site_label
_atom_site_fract_x
_atom_site_fract_y
_atom_site_fract_z
_atom_site_occupancy
Ca1 0.0317 0.2112 0.4339 1
Ca2 0.4160 0.1711 0.2644 1
Sn1 0.2888 0.6871 0.8934 1
S1 0.0027 0.1737 0.1687 1
S2 0.2623 0.5319 0.0527 1
S3 0.3003 0.6133 0.6921 1
S4 0.4147 0.1845 0.0021 1
# Distance to the lowest polymorph of the same formula ... 96 meV/atom
# Raw formation energy ... -1.30 eV/atom
# D(E_F) ... 0.0 states/eV/f.u.

=====

[3]
# DyPa2Ga6 (PBE, relaxed)
data_DyPa2Ga6
_chemical_formula_sum 'Dy1 Pa2 Ga6'
_symmetry_space_group_name_H-M 'P 6/m m m'
_symmetry_Int_Tables_number 191
_symmetry_space_group_name_Hall '-P 6 2'
_cell_length_a 7.7709
_cell_length_b 7.7709
_cell_length_c 3.4861
_cell_angle_alpha 90.00
_cell_angle_beta 90.00
_cell_angle_gamma 120.00
loop_
_atom_site_label
_atom_site_fract_x
_atom_site_fract_y
_atom_site_fract_z
_atom_site_occupancy
Dy1 0.0000 0.0000 0.0000 1
Pa1 0.3333 0.6667 0.0000 1
Ga1 0.0000 0.3324 0.5000 1
# Distance to the lowest polymorph of the same formula ... 0 meV/atom
# ΔH_f (0 K) ... -411 meV/atom
# D(E_F) ... 8.6 states/eV/f.u.